[1]
The following is a DFT calculation (GGA-PBE) of a relaxed LaGa3C crystal.

Calculated values
**Relative energy among the computed polymorphs**: 1616 meV per atom
**V**: 39.8 Å³/atom
**E_form**: 2.06 eV per atom

Unit cell a=5.840 b=5.840 c=5.840 alpha=90.00 beta=90.00 gamma=90.00
Last column: magnetic moment on the atom in μB.
Fractional coordinates of all 5 atoms:
Ga1 0.000 0.000 0.500  -0.04
La1 0.000 0.000 0.000  -0.23
Ga2 0.000 0.500 0.000  -0.06
Ga3 0.500 0.000 0.000  -0.11
C1 0.500 0.500 0.500  0.93

***

[2]
The following is a DFT calculation (GGA-PBE) of a relaxed TePbI3 crystal.

Calculated values
**Relative energy among the computed polymorphs**: 55 meV per atom
**V**: 45.0 Å³/atom
**Formation energy (no corrections)**: 163 meV/atom

Unit cell a=6.084 b=6.084 c=6.084 alpha=90.00 beta=90.00 gamma=90.00
Last column: magnetic moment on the atom in μB.
Fractional coordinates of all 5 atoms:
I1 0.000 0.000 0.500  -0.01
Te1 0.000 0.000 0.000  -0.02
Pb1 0.500 0.500 0.500  0.32
I2 0.000 0.500 0.000  -0.01
I3 0.500 0.000 0.000  -0.01

***

[3]
The following is a DFT calculation (GGA-PBE) of a relaxed Hf2Zr2ScPd5 crystal.

Calculated values
**V**: 19.4 Å³/atom
**E_form**: -0.49 eV per atom

Unit cell a=3.531 b=10.474 c=10.474 alpha=90.00 beta=90.00 gamma=90.00
Fractional coordinates of all 20 atoms:
Pd1 0.500 0.208 0.015
Zr1 0.000 0.832 0.668
Zr2 0.000 0.332 0.832
Sc1 0.000 0.000 0.000
Hf1 0.000 0.638 0.862
Hf2 0.000 0.862 0.362
Pd2 0.500 0.985 0.208
Zr3 0.000 0.668 0.168
Pd3 0.500 0.000 0.500
Pd4 0.500 0.485 0.292
Hf3 0.000 0.362 0.138
Pd5 0.500 0.792 0.985
Pd6 0.500 0.500 0.000
Pd7 0.500 0.515 0.708
Pd8 0.500 0.015 0.792
Zr4 0.000 0.168 0.332
Sc2 0.000 0.500 0.500
Hf4 0.000 0.138 0.638
Pd9 0.500 0.708 0.485
Pd10 0.500 0.292 0.515

***

[4]
The following is a DFT calculation (GGA-PBE) of a relaxed LiPrZnSi crystal.

Calculated values
**V**: 20.8 Å³/atom
**Formation energy (no corrections)**: -313 meV/atom

Unit cell a=4.901 b=4.901 c=4.901 alpha=60.00 beta=60.00 gamma=60.00
Fractional coordinates of all 4 atoms:
Si1 0.750 0.750 0.750
Pr1 0.000 0.000 0.000
Zn1 0.250 0.250 0.250
Li1 0.500 0.500 0.500

***

[5]
The following is a DFT calculation (GGA-PBE) of a relaxed FeReIr2 crystal.

Calculated values
**Relative energy among the computed polymorphs**: 21 meV per atom
**V**: 14.0 Å³/atom
**E_form**: -0.12 eV per atom

Unit cell a=4.668 b=4.668 c=4.669 alpha=131.50 beta=131.50 gamma=70.99
Last column: magnetic moment on the atom in μB.
Fractional coordinates of all 4 atoms:
Ir1 0.500 0.500 0.000  0.06
Re1 0.750 0.250 0.500  -0.36
Fe1 0.250 0.750 0.500  2.38
Ir2 0.000 0.000 0.000  0.06

***

[6]
The following is a DFT calculation (GGA-PBE) of a relaxed Mn2CoIr2 crystal.

Calculated values
**Relative energy among the computed polymorphs**: 47 meV per atom
**V**: 13.7 Å³/atom
**E_form**: 0.22 eV per atom

Unit cell a=7.170 b=7.170 c=2.658 alpha=90.00 beta=90.00 gamma=90.00
Last column: magnetic moment on the atom in μB.
Fractional coordinates of all 10 atoms:
Ir1 0.631 0.131 0.000  -0.09
Co1 0.500 0.500 0.000  1.85
Co2 0.000 0.000 0.000  1.85
Mn1 0.333 0.167 0.500  1.46
Mn2 0.167 0.667 0.500  1.46
Mn3 0.667 0.833 0.500  1.46
Ir2 0.869 0.631 0.000  -0.09
Ir3 0.369 0.869 0.000  -0.09
Mn4 0.833 0.333 0.500  1.46
Ir4 0.131 0.369 0.000  -0.09

***

[7]
The following is a DFT calculation (GGA-PBE) of a relaxed Tb2Th crystal.

Calculated values
**Relative energy among the computed polymorphs**: 358 meV per atom
**V**: 32.2 Å³/atom
**E_form**: 0.35 eV per atom

Unit cell a=6.491 b=6.491 c=6.491 alpha=60.00 beta=60.00 gamma=60.00
Last column: magnetic moment on the atom in μB.
Fractional coordinates of all 6 atoms:
Tb1 0.625 0.125 0.625  0.06
Tb2 0.625 0.625 0.625  0.06
Th1 0.250 0.250 0.250  0.09
Tb3 0.625 0.625 0.125  0.06
Tb4 0.125 0.625 0.625  0.06
Th2 0.000 0.000 0.000  0.09

***

[8]
The following is a DFT calculation (GGA-PBE) of a relaxed Rb2CeTmO4 crystal.

Calculated values
**V**: 18.1 Å³/atom
**Formation energy (no corrections)**: -2625 meV/atom

Unit cell a=3.562 b=6.181 c=6.885 alpha=107.33 beta=90.00 gamma=90.00
Last column: magnetic moment on the atom in μB.
Fractional coordinates of all 8 atoms:
Rb1 0.000 0.500 0.500  0.01
O1 0.000 0.262 0.825  -0.01
Rb2 0.500 0.000 0.500  0.01
O2 0.500 0.786 0.827  -0.01
O3 0.500 0.214 0.173  -0.01
O4 0.000 0.738 0.175  -0.01
Tm1 0.000 0.000 0.000  0.01
Ce1 0.500 0.500 0.000  0.84

***

[9]
The following is a DFT calculation (GGA-PBE) of a relaxed LiAu2 crystal.

Calculated values
**V**: 16.4 Å³/atom
**E_form**: -0.38 eV per atom

Unit cell a=7.706 b=7.706 c=2.871 alpha=90.00 beta=90.00 gamma=120.00
Fractional coordinates of all 9 atoms:
Au1 0.000 0.642 0.500
Au2 0.694 0.694 0.000
Au3 0.000 0.306 0.000
Li1 0.000 0.000 0.500
Au4 0.358 0.358 0.500
Au5 0.306 0.000 0.000
Au6 0.642 0.000 0.500
Li2 0.667 0.333 0.000
Li3 0.333 0.667 0.000

***

[10]
The following is a DFT calculation (GGA-PBE) of a relaxed MoP crystal.

Calculated values
**V**: 14.3 Å³/atom
**E_form**: -0.46 eV per atom

Unit cell a=4.534 b=4.534 c=6.549 alpha=78.25 beta=78.25 gamma=40.83
Fractional coordinates of all 6 atoms:
P1 0.002 0.002 0.576
Mo1 0.701 0.701 0.678
P2 0.234 0.234 0.965
P3 0.325 0.325 0.363
Mo2 0.625 0.625 0.278
Mo3 0.947 0.947 0.972

***

[11]
The following is a DFT calculation (GGA-PBE) of a relaxed Sr2PPt crystal.

Calculated values
**V**: 26.8 Å³/atom
**E_form**: -0.91 eV per atom

Unit cell a=5.738 b=5.738 c=4.434 alpha=90.01 beta=90.01 gamma=47.17
Fractional coordinates of all 4 atoms:
Sr1 0.020 0.020 0.126
Sr2 0.731 0.731 0.626
Pt1 0.326 0.326 0.124
P1 0.424 0.424 0.624

***

[12]
The following is a DFT calculation (GGA-PBE) of a relaxed Bi2IF5 crystal.

Calculated values
**V**: 17.9 Å³/atom
**Formation energy (no corrections)**: -2045 meV/atom

Unit cell a=3.985 b=6.460 c=6.460 alpha=68.36 beta=72.03 gamma=72.03
Fractional coordinates of all 8 atoms:
F1 0.683 0.137 0.498
F2 0.683 0.498 0.137
I1 0.000 0.000 0.000
F3 0.000 0.500 0.500
F4 0.317 0.863 0.502
Bi1 0.773 0.727 0.727
Bi2 0.227 0.273 0.273
F5 0.317 0.502 0.863

***

- V of number 4 (LiPrZnSi)?
  20.8 Å³/atom

***

- The highest V belongs to which entry?
  TePbI3